# 1
Material: Sm5TlSb4
Method: DFT, GGA-PBE
State: optimized geometry

a b c (Å): 10.015 10.015 6.309
angles (deg): 90.00 90.00 90.00
Space group I4/m (No. 87)
Unique sites:
Sm1 0.000 0.000 0.000
Sm2 0.104 0.309 0.500
Tl1 0.000 0.000 0.500
Sb1 0.101 0.299 0.000

Output
Fermi-level density of states   5.28 states/eV/f.u.
Total energy   -104.0 eV/cell
Formation energy (no corrections)   -0.96 eV/atom

# 2
Material: Sm5Tl2Sb2
Method: DFT, GGA-PBE
State: optimized geometry

a b c (Å): 15.863 8.315 8.326
angles (deg): 90.00 90.00 90.00
Space group Cmce (No. 64)
Unique sites:
Sm1 0.000 0.000 0.000
Sm2 0.136 0.170 0.336
Tl1 0.207 0.000 0.000
Sb1 0.000 0.138 0.641

Output
Fermi-level density of states   7.92 states/eV/f.u.
Total energy   -171.1 eV/cell
Formation energy (no corrections)   -0.69 eV/atom

# 3
Material: Sm2TlSb
Method: DFT, GGA-PBE
State: optimized geometry

a b c (Å): 8.376 4.167 14.606
angles (deg): 90.00 90.00 90.00
Space group Pnma (No. 62)
Unique sites:
Sm1 0.185 0.250 0.010
Sm2 0.188 0.750 0.763
Tl1 0.046 0.250 0.418
Sb1 0.066 0.750 0.160

Output
Fermi-level density of states   3.17 states/eV/f.u.
Total energy   -73.7 eV/cell
Formation energy (no corrections)   -0.62 eV/atom
Relative energy among the computed polymorphs   0.53 eV/f.u.

# 4
Material: Sm2TlSb
Method: DFT, GGA-PBE
State: optimized geometry

a b c (Å): 4.042 4.042 7.006
angles (deg): 90.00 90.00 90.00
Space group P4/mmm (No. 123)
Unique sites:
Sm1 0.000 0.000 0.239
Tl1 0.500 0.500 0.500
Sb1 0.500 0.500 0.000

Output
Fermi-level density of states   2.74 states/eV/f.u.
Total energy   -18.6 eV/cell
Formation energy (no corrections)   -0.66 eV/atom
Relative energy among the computed polymorphs   0.39 eV/f.u.

> The lowest formation energy (no corrections) belongs to which entry?

Sm5TlSb4

> Look up the total energy of the first one.

-104.0 eV/cell

Repeat the second record exactly.
Material: Sm5Tl2Sb2
Method: DFT, GGA-PBE
State: optimized geometry

a b c (Å): 15.863 8.315 8.326
angles (deg): 90.00 90.00 90.00
Space group Cmce (No. 64)
Unique sites:
Sm1 0.000 0.000 0.000
Sm2 0.136 0.170 0.336
Tl1 0.207 0.000 0.000
Sb1 0.000 0.138 0.641

Output
Fermi-level density of states   7.92 states/eV/f.u.
Total energy   -171.1 eV/cell
Formation energy (no corrections)   -0.69 eV/atom